No. 1
Density functional theory data (PBE) for a relaxed structure of ZnGe2HO6.

Calculated values
The calculated total energy is -224.60 eV for the cell shown.

Unit cell a=10.328 b=11.819 c=5.082 alpha=90.00 beta=108.10 gamma=90.00
Space group C2/c (No. 15)
One atom of each set of equivalent atoms:
Zn1 0.000 0.247 0.250 x4
Ge1 0.221 0.418 0.648 x8
H1 0.000 0.342 0.750 x4
O1 0.067 0.342 0.592 x8
O2 0.142 0.165 0.166 x8
O3 0.224 0.448 0.307 x8



No. 2
Density functional theory data (PBE) for a relaxed structure of ZrGeH2O.

Calculated values
The calculated total energy is -24.88 eV for the cell shown.

Unit cell a=3.941 b=3.941 c=4.083 alpha=90.00 beta=90.00 gamma=90.00
Space group P4/mmm (No. 123)
One atom of each set of equivalent atoms:
Zr1 0.000 0.000 0.000 x1
Ge1 0.500 0.500 0.000 x1
H1 0.000 0.500 0.500 x2
O1 0.000 0.000 0.500 x1



Please write out number 2 again, unchanged.
Density functional theory data (PBE) for a relaxed structure of ZrGeH2O.

Calculated values
The calculated total energy is -24.88 eV for the cell shown.

Unit cell a=3.941 b=3.941 c=4.083 alpha=90.00 beta=90.00 gamma=90.00
Space group P4/mmm (No. 123)
One atom of each set of equivalent atoms:
Zr1 0.000 0.000 0.000 x1
Ge1 0.500 0.500 0.000 x1
H1 0.000 0.500 0.500 x2
O1 0.000 0.000 0.500 x1



Repeat the first record exactly.
Density functional theory data (PBE) for a relaxed structure of ZnGe2HO6.

Calculated values
The calculated total energy is -224.60 eV for the cell shown.

Unit cell a=10.328 b=11.819 c=5.082 alpha=90.00 beta=108.10 gamma=90.00
Space group C2/c (No. 15)
One atom of each set of equivalent atoms:
Zn1 0.000 0.247 0.250 x4
Ge1 0.221 0.418 0.648 x8
H1 0.000 0.342 0.750 x4
O1 0.067 0.342 0.592 x8
O2 0.142 0.165 0.166 x8
O3 0.224 0.448 0.307 x8